No. 1
# GGA-PBE Zr6Ga5Ge, relaxed
data_Zr6Ga5Ge
_chemical_formula_sum 'Zr12 Ga10 Ge2'
_space_group_name_H-M_alt 'C 1 2/m 1'
_space_group_IT_number 12
_cell_length_a 6.763
_cell_length_b 11.633
_cell_length_c 6.745
_cell_angle_alpha 90.00
_cell_angle_beta 109.27
_cell_angle_gamma 90.00
loop_
_space_group_symop_operation_xyz
'x,y,z'
'-x,-y,-z'
'-x,y,-z'
'x,-y,z'
'x+1/2,y+1/2,z'
'-x+1/2,-y+1/2,-z'
'-x+1/2,y+1/2,-z'
'x+1/2,-y+1/2,z'
loop_
_atom_site_label
_atom_site_type_symbol
_atom_site_fract_x
_atom_site_fract_y
_atom_site_fract_z
_atom_site_occupancy
Zr1 Zr 0.245 0.000 0.255 1
Zr2 Zr 0.245 0.164 0.745 1
Ga1 Ga 0.000 0.169 0.000 1
Ga2 Ga 0.000 0.334 0.500 1
Ga3 Ga 0.000 0.500 0.000 1
Ge1 Ge 0.000 0.000 0.500 1
# Calculated volume in Å³/atom: 20.87
# Energy of formation from the pure elements in eV/f.u.: -4.74

No. 2
# GGA-PBE ZrGa2Ge, relaxed
data_ZrGa2Ge
_chemical_formula_sum 'Zr4 Ga8 Ge4'
_space_group_name_H-M_alt 'I -4 2 d'
_space_group_IT_number 122
_space_group_name_Hall 'I -4 2bw'
_cell_length_a 7.505
_cell_length_b 7.505
_cell_length_c 5.506
_cell_angle_alpha 90.00
_cell_angle_beta 90.00
_cell_angle_gamma 90.00
loop_
_atom_site_label
_atom_site_type_symbol
_atom_site_fract_x
_atom_site_fract_y
_atom_site_fract_z
_atom_site_occupancy
Zr1 Zr 0.000 0.000 0.000 1
Ga1 Ga 0.223 0.250 0.625 1
Ge1 Ge 0.000 0.000 0.500 1
# Calculated volume in Å³/atom: 19.38
# Energy of formation from the pure elements in eV/f.u.: -0.56

No. 3
# GGA-PBE Zr2Ga2Ge, relaxed
data_Zr2Ga2Ge
_chemical_formula_sum 'Zr4 Ga4 Ge2'
_space_group_name_H-M_alt 'P 4/m b m'
_space_group_IT_number 127
_space_group_name_Hall '-P 4 2ab'
_cell_length_a 6.860
_cell_length_b 6.860
_cell_length_c 4.016
_cell_angle_alpha 90.00
_cell_angle_beta 90.00
_cell_angle_gamma 90.00
loop_
_atom_site_label
_atom_site_type_symbol
_atom_site_fract_x
_atom_site_fract_y
_atom_site_fract_z
_atom_site_occupancy
Zr1 Zr 0.178 0.322 0.000 1
Ga1 Ga 0.127 0.627 0.500 1
Ge1 Ge 0.000 0.000 0.500 1
# Calculated volume in Å³/atom: 18.90
# Energy of formation from the pure elements in eV/f.u.: -2.10

What did the third record say?
# GGA-PBE Zr2Ga2Ge, relaxed
data_Zr2Ga2Ge
_chemical_formula_sum 'Zr4 Ga4 Ge2'
_space_group_name_H-M_alt 'P 4/m b m'
_space_group_IT_number 127
_space_group_name_Hall '-P 4 2ab'
_cell_length_a 6.860
_cell_length_b 6.860
_cell_length_c 4.016
_cell_angle_alpha 90.00
_cell_angle_beta 90.00
_cell_angle_gamma 90.00
loop_
_atom_site_label
_atom_site_type_symbol
_atom_site_fract_x
_atom_site_fract_y
_atom_site_fract_z
_atom_site_occupancy
Zr1 Zr 0.178 0.322 0.000 1
Ga1 Ga 0.127 0.627 0.500 1
Ge1 Ge 0.000 0.000 0.500 1
# Calculated volume in Å³/atom: 18.90
# Energy of formation from the pure elements in eV/f.u.: -2.10

Q: calculated volume of number 2 (ZrGa2Ge)?
A: 19.38 Å³/atom

Q: Which formula does entry 1 have?
A: Zr6Ga5Ge